[1]
ZrNi8Pt3 after structural relaxation. Source: the Alexandria database, functional GGA-PBE.

abc: 4.7865 4.7865 7.7323
angles: 90.00 90.00 120.00
Space group P3m1 (No. 156)
One atom of each set of equivalent atoms:
Zr 0.0000 0.0000 0.0000 [1 per cell]
Ni 0.1647 0.3293 0.6798 [3 per cell]
Ni 0.3333 0.6667 0.4299 [1 per cell]
Ni 0.3333 0.6667 0.9310 [1 per cell]
Ni 0.5029 0.0057 0.1871 [3 per cell]
Pt 0.0000 0.0000 0.3734 [1 per cell]
Pt 0.6667 0.3333 0.4986 [1 per cell]
Pt 0.6667 0.3333 0.8740 [1 per cell]

M_tot = 0.3204 μB per atom
DFT formation energy = -0.2489 eV/atom
crystal system = trigonal

---

[2]
Zr2Ni3Pt3 after structural relaxation. Source: the Alexandria database, functional GGA-PBE.

abc: 3.897 3.967 7.812
angles: 90.00 90.00 90.00
Space group Pmmm (No. 47)
One atom of each set of equivalent atoms:
Zr 0.000 0.000 0.244 [2 per cell]
Ni 0.500 0.000 0.000 [1 per cell]
Ni 0.500 0.500 0.246 [2 per cell]
Pt 0.000 0.500 0.000 [1 per cell]
Pt 0.000 0.500 0.500 [1 per cell]
Pt 0.500 0.000 0.500 [1 per cell]

M_tot = 0.0000 μB per atom
DFT formation energy = -0.7539 eV/atom
crystal system = orthorhombic

---

[3]
ZrNi2Pt5 after structural relaxation. Source: the Alexandria database, functional GGA-PBE.

abc: 5.558 11.243 3.899
angles: 90.00 90.00 90.00
Space group Pbam (No. 55)
One atom of each set of equivalent atoms:
Zr 0.000 0.000 0.000 [2 per cell]
Ni 0.242 0.372 0.500 [4 per cell]
Pt 0.000 0.500 0.000 [2 per cell]
Pt 0.002 0.756 0.000 [4 per cell]
Pt 0.246 0.623 0.500 [4 per cell]

M_tot = 0.1343 μB per atom
DFT formation energy = -0.4545 eV/atom
crystal system = orthorhombic

---

[4]
ZrNi2Pt after structural relaxation. Source: the Alexandria database, functional GGA-PBE.

abc: 3.271 3.375 5.431
angles: 90.00 90.00 90.00
Space group Pmm2 (No. 25)
One atom of each set of equivalent atoms:
Zr 0.000 0.000 0.000 [1 per cell]
Ni 0.000 0.000 0.469 [1 per cell]
Ni 0.500 0.500 0.257 [1 per cell]
Pt 0.500 0.500 0.725 [1 per cell]

M_tot = 0.0801 μB per atom
DFT formation energy = -0.4659 eV/atom
crystal system = orthorhombic

---

[5]
ZrNi23Pt6 after structural relaxation. Source: the Alexandria database, functional GGA-PBE.

abc: 11.436 11.436 11.436
angles: 90.00 90.00 90.00
Space group Fm-3m (No. 225)
One atom of each set of equivalent atoms:
Zr 0.000 0.000 0.000 [4 per cell]
Ni 0.000 0.000 0.500 [4 per cell]
Ni 0.000 0.250 0.250 [24 per cell]
Ni 0.125 0.125 0.375 [32 per cell]
Ni 0.159 0.159 0.159 [32 per cell]
Pt 0.000 0.000 0.238 [24 per cell]

M_tot = 0.5006 μB per atom
DFT formation energy = -0.0441 eV/atom
crystal system = cubic

---

[6]
Zr2Ni3Pt4 after structural relaxation. Source: the Alexandria database, functional GGA-PBE.

abc: 8.932 3.995 8.244
angles: 90.00 110.89 90.00
Space group C2/m (No. 12)
One atom of each set of equivalent atoms:
Zr 0.177 0.000 0.232 [4 per cell]
Ni 0.000 0.500 0.000 [2 per cell]
Ni 0.149 0.000 0.550 [4 per cell]
Pt 0.017 0.500 0.343 [4 per cell]
Pt 0.161 0.000 0.889 [4 per cell]

M_tot = 0.0001 μB per atom
DFT formation energy = -0.6845 eV/atom
crystal system = monoclinic

---

[7]
ZrNi3Pt after structural relaxation. Source: the Alexandria database, functional GGA-PBE.

abc: 4.526 4.526 4.526
angles: 90.00 90.00 90.00
Space group Pm-3m (No. 221)
One atom of each set of equivalent atoms:
Zr 0.000 0.000 0.000 [1 per cell]
Ni 0.000 0.500 0.500 [3 per cell]
Pt 0.500 0.500 0.500 [1 per cell]

excess energy over the best structure of this formula in the dataset = 26.924 kcal/mol of atoms
M_tot = 0.1768 μB per atom
DFT formation energy = 0.7905 eV/atom
crystal system = cubic

---

[8]
Zr2Ni3Pt after structural relaxation. Source: the Alexandria database, functional GGA-PBE.

abc: 4.756 4.936 8.188
angles: 97.12 99.42 90.94
Space group P-1 (No. 2)
One atom of each set of equivalent atoms:
Zr 0.171 0.288 0.108 [2 per cell]
Zr 0.279 0.910 0.625 [2 per cell]
Ni 0.202 0.845 0.296 [2 per cell]
Ni 0.240 0.375 0.434 [2 per cell]
Ni 0.371 0.801 0.032 [2 per cell]
Pt 0.281 0.444 0.762 [2 per cell]

M_tot = 0.0000 μB per atom
DFT formation energy = -0.5166 eV/atom
crystal system = triclinic

---

Question: Which of these has the lowest DFT formation energy?
Answer: Zr2Ni3Pt3